(1)
# Er2VCd

A relaxed structure of Er2VCd (PBE, Alexandria).

- ΔH_f (0 K) (meV/atom) = 0
- raw total energy (eV/atom) = -4.790
- DOS(E_F) (states/eV/f.u.) = 2.9
- ΔE to the lowest computed polymorph (kJ/mol of atoms) = 0.00
- density (g/cm³) = 8.59

a = 3.590 Å, b = 3.590 Å, c = 7.469 Å
α = 90.00°, β = 90.00°, γ = 90.00°
Space group P4/mmm (No. 123)
Unique sites:
Er  0.000  0.000  0.229 x2
V  0.500  0.500  0.000 x1
Cd  0.500  0.500  0.500 x1

(2)
# Er2VCd

A relaxed structure of Er2VCd (PBE, Alexandria).

- ΔH_f (0 K) (meV/atom) = 40
- raw total energy (eV/atom) = -4.750
- DOS(E_F) (states/eV/f.u.) = 3.9
- ΔE to the lowest computed polymorph (kJ/mol of atoms) = 3.83
- density (g/cm³) = 8.63

a = 7.263 Å, b = 7.263 Å, c = 7.263 Å
α = 90.00°, β = 90.00°, γ = 90.00°
Space group Fm-3m (No. 225)
Unique sites:
Er  0.250  0.250  0.250 x8
V  0.000  0.000  0.000 x4
Cd  0.000  0.000  0.500 x4

(3)
# YErCd4

A relaxed structure of YErCd4 (PBE, Alexandria).

- ΔH_f (0 K) (meV/atom) = -320
- raw total energy (eV/atom) = -2.767
- DOS(E_F) (states/eV/f.u.) = 4.2
- ΔE to the lowest computed polymorph (kJ/mol of atoms) = 0.00
- density (g/cm³) = 8.01

a = 3.431 Å, b = 4.974 Å, c = 8.576 Å
α = 90.00°, β = 90.00°, γ = 90.00°
Space group Pmmm (No. 47)
Unique sites:
Y  0.000  0.000  0.000 x1
Er  0.000  0.500  0.500 x1
Cd  0.500  0.000  0.334 x2
Cd  0.500  0.500  0.168 x2

(4)
# Y4ErCd5

A relaxed structure of Y4ErCd5 (PBE, Alexandria).

- ΔH_f (0 K) (meV/atom) = -347
- raw total energy (eV/atom) = -3.846
- DOS(E_F) (states/eV/f.u.) = 10.5
- density (g/cm³) = 6.87

a = 3.741 Å, b = 3.741 Å, c = 18.749 Å
α = 90.00°, β = 90.00°, γ = 90.00°
Space group P4/mmm (No. 123)
Unique sites:
Y  0.000  0.000  0.100 x2
Y  0.000  0.000  0.301 x2
Er  0.000  0.000  0.500 x1
Cd  0.500  0.500  0.000 x1
Cd  0.500  0.500  0.201 x2
Cd  0.500  0.500  0.402 x2

(5)
# Y6ErCd5

A relaxed structure of Y6ErCd5 (PBE, Alexandria).

- ΔH_f (0 K) (meV/atom) = -242
- raw total energy (eV/atom) = -4.235
- DOS(E_F) (states/eV/f.u.) = 15.0
- density (g/cm³) = 6.40

a = 5.269 Å, b = 7.755 Å, c = 16.029 Å
α = 90.00°, β = 90.00°, γ = 90.00°
Space group Immm (No. 71)
Unique sites:
Y  0.000  0.232  0.000 x4
Y  0.000  0.256  0.329 x8
Er  0.000  0.000  0.500 x2
Cd  0.000  0.000  0.169 x4
Cd  0.000  0.500  0.152 x4
Cd  0.000  0.500  0.500 x2

(6)
# Y8Er2Cd

A relaxed structure of Y8Er2Cd (PBE, Alexandria).

- ΔH_f (0 K) (meV/atom) = 100
- raw total energy (eV/atom) = -5.514
- DOS(E_F) (states/eV/f.u.) = 18.1
- ΔE to the lowest computed polymorph (kJ/mol of atoms) = 11.98
- density (g/cm³) = 5.37

a = 18.451 Å, b = 6.821 Å, c = 5.691 Å
α = 90.00°, β = 91.79°, γ = 90.00°
Space group C2/m (No. 12)
Unique sites:
Y  0.050  0.000  0.235 x4
Y  0.127  0.237  0.746 x8
Y  0.177  0.500  0.234 x4
Er  0.219  0.000  0.259 x4
Cd  0.000  0.500  0.000 x2

(7)
# YErCd6

A relaxed structure of YErCd6 (PBE, Alexandria).

- ΔH_f (0 K) (meV/atom) = -280
- raw total energy (eV/atom) = -2.345
- DOS(E_F) (states/eV/f.u.) = 3.8
- density (g/cm³) = 8.17

a = 4.877 Å, b = 7.146 Å, c = 10.858 Å
α = 90.00°, β = 90.00°, γ = 90.00°
Space group Amm2 (No. 38)
Unique sites:
Y  0.000  0.000  0.000 x2
Er  0.500  0.000  0.730 x2
Cd  0.000  0.000  0.541 x2
Cd  0.000  0.218  0.270 x4
Cd  0.500  0.000  0.191 x2
Cd  0.500  0.216  0.460 x4

(8)
# YEr3Cd

A relaxed structure of YEr3Cd (PBE, Alexandria).

- ΔH_f (0 K) (meV/atom) = 56
- raw total energy (eV/atom) = -4.158
- DOS(E_F) (states/eV/f.u.) = 8.0
- ΔE to the lowest computed polymorph (kJ/mol of atoms) = 16.22
- density (g/cm³) = 7.76

a = 13.562 Å, b = 13.483 Å, c = 6.654 Å
α = 90.00°, β = 98.51°, γ = 90.00°
Space group C2/c (No. 15)
Unique sites:
Y  0.108  0.187  0.132 x8
Er  0.103  0.072  0.610 x8
Er  0.166  0.336  0.526 x8
Er  0.191  0.425  0.027 x8
Cd  0.000  0.291  0.750 x4
Cd  0.000  0.475  0.250 x4